1.
Y2Tm3Sc: relaxed, PBE.

Results
The calculation puts the energy of formation from the pure elements at 0.1 eV/f.u. As for the uncorrected energy: -5.43 eV/atom. The magnetic moment comes out at 0.0 Bohr magnetons per cell. As for the energy above the most stable polymorph in this dataset: 0.000 eV/atom. As for the density of states at the Fermi level: 1.372 states/eV per atom.

Cell: 6.0563 6.0563 33.7124 Å, 90.00 90.00 120.00°
Space group R-3c (No. 167, hexagonal axes)
Asymmetric unit:
1 Y 0.0000 0.0000 0.1670 [12 per cell]
2 Tm 0.0000 0.3381 0.2500 [18 per cell]
3 Sc 0.0000 0.0000 0.0000 [6 per cell]

***

2.
Ti2MoPd9: relaxed, PBE.

Results
The calculation puts the energy of formation from the pure elements at -4.7 eV/f.u. As for the uncorrected energy: -6.51 eV/atom. The magnetic moment comes out at 2.5 Bohr magnetons per cell. As for the density of states at the Fermi level: 0.694 states/eV per atom.

Cell: 3.941 3.941 11.804 Å, 90.00 90.00 90.00°
Space group P4/mmm (No. 123)
Asymmetric unit:
1 Ti 0.000 0.000 0.166 [2 per cell]
2 Mo 0.000 0.000 0.500 [1 per cell]
3 Pd 0.000 0.500 0.000 [2 per cell]
4 Pd 0.000 0.500 0.330 [4 per cell]
5 Pd 0.500 0.500 0.166 [2 per cell]
6 Pd 0.500 0.500 0.500 [1 per cell]

***

3.
ErSb2Pd7Au2: relaxed, PBE.

Results
As for the uncorrected energy: -5.07 eV/atom. The magnetic moment comes out at 0.0 Bohr magnetons per cell. As for the density of states at the Fermi level: 0.402 states/eV per atom.

Cell: 5.865 5.771 12.818 Å, 90.00 90.04 90.00°
Space group C2/m (No. 12)
Asymmetric unit:
1 Er 0.000 0.000 0.000 [2 per cell]
2 Sb 0.001 0.000 0.327 [4 per cell]
3 Pd 0.000 0.500 0.000 [2 per cell]
4 Pd 0.248 0.500 0.500 [4 per cell]
5 Pd 0.250 0.250 0.160 [8 per cell]
6 Au 0.000 0.500 0.313 [4 per cell]

***

4.
Ac2Pr2Tl3: relaxed, PBE.

Results
The calculation puts the energy of formation from the pure elements at -1.7 eV/f.u. As for the uncorrected energy: -3.79 eV/atom. The magnetic moment comes out at 0.0 Bohr magnetons per cell. As for the energy above the most stable polymorph in this dataset: 0.020 eV/atom. As for the density of states at the Fermi level: 0.875 states/eV per atom.

Cell: 4.593 27.088 3.819 Å, 90.00 90.00 90.00°
Space group Cmmm (No. 65)
Asymmetric unit:
1 Ac 0.000 0.073 0.000 [4 per cell]
2 Pr 0.000 0.204 0.000 [4 per cell]
3 Tl 0.000 0.350 0.500 [4 per cell]
4 Tl 0.000 0.500 0.500 [2 per cell]

***

Q: uncorrected energy of number 3 (ErSb2Pd7Au2)?
A: -5.07 eV/atom